[1]
Material: DyHoSn
Method: DFT, PBE
State: optimized geometry

Structure (CIF):
```
data_DyHoSn
_cell_length_a 4.549
_cell_length_b 4.549
_cell_length_c 16.649
_cell_angle_alpha 90.00
_cell_angle_beta 90.00
_cell_angle_gamma 90.00
_space_group_name_H-M_alt 'I 4/m m m'
_space_group_IT_number 139
_space_group_name_Hall '-I 4 2'
loop_
_atom_site_label
_atom_site_type_symbol
_atom_site_fract_x
_atom_site_fract_y
_atom_site_fract_z
_atom_site_occupancy
Dy1 Dy 0.000 0.000 0.176 1
Ho1 Ho 0.000 0.500 0.000 1
Sn1 Sn 0.000 0.000 0.363 1
```

Energy of formation from the pure elements in kJ/mol of formula units: -168
E above lowest polymorph in meV/atom: 0

[2]
Material: TiPbN
Method: DFT, PBE
State: optimized geometry

Structure (CIF):
```
data_TiPbN
_cell_length_a 3.183
_cell_length_b 26.638
_cell_length_c 3.447
_cell_angle_alpha 90.00
_cell_angle_beta 90.00
_cell_angle_gamma 90.00
_space_group_name_H-M_alt 'C m c m'
_space_group_IT_number 63
_space_group_name_Hall '-C 2c 2'
loop_
_atom_site_label
_atom_site_type_symbol
_atom_site_fract_x
_atom_site_fract_y
_atom_site_fract_z
_atom_site_occupancy
Ti1 Ti 0.000 0.095 0.250 1
Pb1 Pb 0.000 0.193 0.750 1
N1 N 0.000 0.437 0.750 1
```

E_form (uncorrected) in eV/atom: 0.0773

[3]
Material: CeCd11Sn
Method: DFT, PBE
State: optimized geometry

Structure (CIF):
```
data_CeCd11Sn
_cell_length_a 6.213
_cell_length_b 14.252
_cell_length_c 7.595
_cell_angle_alpha 90.00
_cell_angle_beta 113.27
_cell_angle_gamma 90.00
_space_group_name_H-M_alt 'C 1 2/m 1'
_space_group_IT_number 12
_space_group_name_Hall '-C 2y'
loop_
_atom_site_label
_atom_site_type_symbol
_atom_site_fract_x
_atom_site_fract_y
_atom_site_fract_z
_atom_site_occupancy
Ce1 Ce 0.000 0.000 0.000 1
Cd1 Cd 0.000 0.500 0.500 1
Cd2 Cd 0.091 0.393 0.209 1
Cd3 Cd 0.181 0.178 0.350 1
Cd4 Cd 0.250 0.250 0.000 1
Sn1 Sn 0.000 0.000 0.500 1
```

Energy of formation from the pure elements in kJ/mol of formula units: -68

[4]
Material: CsBi3H
Method: DFT, PBE
State: optimized geometry

Structure (CIF):
```
data_CsBi3H
_cell_length_a 5.258
_cell_length_b 5.258
_cell_length_c 5.258
_cell_angle_alpha 90.00
_cell_angle_beta 90.00
_cell_angle_gamma 90.00
_space_group_name_H-M_alt 'P m -3 m'
_space_group_IT_number 221
_space_group_name_Hall '-P 4 2 3'
loop_
_atom_site_label
_atom_site_type_symbol
_atom_site_fract_x
_atom_site_fract_y
_atom_site_fract_z
_atom_site_occupancy
Cs1 Cs 0.000 0.000 0.000 1
Bi1 Bi 0.000 0.500 0.500 1
H1 H 0.500 0.500 0.500 1
```

E above lowest polymorph in meV/atom: 0

| no. | total magnetic moment (μB per formula unit) | VASP energy (eV per atom) | Fermi-level density of states (states/eV per cell) |
| --- | --- | --- | --- |
| 1 | 0.00 | -4.9743 | 14.238 |
| 2 | 0.00 | -6.5656 | 9.421 |
| 3 | 1.25 | -1.5931 | 23.440 |
| 4 | 0.00 | -2.9621 | 1.741 |